Material: Sr2LaAg
Method: DFT, GGA-PBE
State: relaxed

## Properties
ΔE to the lowest computed polymorph, meV per atom: 118.2
Energy of formation, eV/atom: 0.038

Unit cell a=11.461 b=11.461 c=11.461 alpha=20.36 beta=20.36 gamma=20.36
Sites, in units of the cell vectors:
Sr  0.234  0.234  0.234
Sr  0.766  0.766  0.766
La  0.000  0.000  0.000
Ag  0.500  0.500  0.500